[1]
! LaZrZnHg PBE optimized geometry; values from VASP
! DOS(E_F) = 1.519 states/eV/atom
! Energy of formation from the pure elements = -0.136 eV/atom
&SYSTEM
  ibrav = 0, nat = 4, ntyp = 4
/
ATOMIC_SPECIES
La 138.91 La.upf
Zr 91.22 Zr.upf
Zn 65.41 Zn.upf
Hg 200.59 Hg.upf
CELL_PARAMETERS angstrom
0.000 3.656 3.656
3.656 0.000 3.656
3.656 3.656 0.000
ATOMIC_POSITIONS crystal
La 0.000 0.000 0.000
Zr 0.500 0.500 0.500
Zn 0.250 0.250 0.250
Hg 0.750 0.750 0.750

[2]
! La2ZrHg2 PBE optimized geometry; values from VASP
! DOS(E_F) = 1.172 states/eV/atom
! Energy of formation from the pure elements = -0.149 eV/atom
&SYSTEM
  ibrav = 0, nat = 10, ntyp = 3
/
ATOMIC_SPECIES
La 138.91 La.upf
Zr 91.22 Zr.upf
Hg 200.59 Hg.upf
CELL_PARAMETERS angstrom
8.741 0.000 0.000
0.000 8.741 0.000
0.000 0.000 3.831
ATOMIC_POSITIONS crystal
La 0.172 0.328 0.000
La 0.328 0.828 0.000
La 0.672 0.172 0.000
La 0.828 0.672 0.000
Zr 0.000 0.000 0.500
Zr 0.500 0.500 0.500
Hg 0.128 0.628 0.500
Hg 0.372 0.128 0.500
Hg 0.628 0.872 0.500
Hg 0.872 0.372 0.500

[3]
! LaZrHg2 PBE optimized geometry; values from VASP
! DOS(E_F) = 1.109 states/eV/atom
! E above lowest polymorph = 1.866 eV/f.u.
! Energy of formation from the pure elements = 0.199 eV/atom
&SYSTEM
  ibrav = 0, nat = 8, ntyp = 3
/
ATOMIC_SPECIES
La 138.91 La.upf
Zr 91.22 Zr.upf
Hg 200.59 Hg.upf
CELL_PARAMETERS angstrom
-2.408 2.408 10.221
2.408 -2.408 10.221
2.408 2.408 -10.221
ATOMIC_POSITIONS crystal
La 0.000 0.000 0.000
La 0.750 0.250 0.500
Zr 0.250 0.750 0.500
Zr 0.500 0.500 0.000
Hg 0.175 0.625 0.050
Hg 0.375 0.425 0.550
Hg 0.575 0.125 0.950
Hg 0.875 0.825 0.450

[4]
! LaZr2Hg PBE optimized geometry; values from VASP
! DOS(E_F) = 0.965 states/eV/atom
! Energy of formation from the pure elements = -0.106 eV/atom
&SYSTEM
  ibrav = 0, nat = 4, ntyp = 3
/
ATOMIC_SPECIES
La 138.91 La.upf
Zr 91.22 Zr.upf
Hg 200.59 Hg.upf
CELL_PARAMETERS angstrom
3.337 0.000 0.000
0.000 3.337 0.000
0.000 0.000 9.232
ATOMIC_POSITIONS crystal
La 0.000 0.000 0.000
Zr 0.000 0.000 0.517
Zr 0.500 0.500 0.292
Hg 0.500 0.500 0.736

[5]
! LaZrHg PBE optimized geometry; values from VASP
! DOS(E_F) = 0.910 states/eV/atom
! E above lowest polymorph = 0.000 eV/f.u.
! Energy of formation from the pure elements = -0.127 eV/atom
&SYSTEM
  ibrav = 0, nat = 3, ntyp = 3
/
ATOMIC_SPECIES
La 138.91 La.upf
Zr 91.22 Zr.upf
Hg 200.59 Hg.upf
CELL_PARAMETERS angstrom
-1.767 1.767 6.507
1.767 -1.767 6.507
1.767 1.767 -6.507
ATOMIC_POSITIONS crystal
La 0.000 0.000 0.000
Zr 0.316 0.316 0.000
Hg 0.685 0.685 0.000

[6]
! LaZr2Hg PBE optimized geometry; values from VASP
! DOS(E_F) = 0.905 states/eV/atom
! Energy of formation from the pure elements = 0.078 eV/atom
&SYSTEM
  ibrav = 0, nat = 4, ntyp = 3
/
ATOMIC_SPECIES
La 138.91 La.upf
Zr 91.22 Zr.upf
Hg 200.59 Hg.upf
CELL_PARAMETERS angstrom
1.694 0.978 10.146
-1.694 0.978 10.146
0.000 -1.956 10.146
ATOMIC_POSITIONS crystal
La 0.000 0.000 0.000
Zr 0.245 0.245 0.245
Zr 0.755 0.755 0.755
Hg 0.500 0.500 0.500

[7]
! LaZrHg2 PBE optimized geometry; values from VASP
! DOS(E_F) = 1.115 states/eV/atom
! E above lowest polymorph = 0.059 eV/f.u.
! Energy of formation from the pure elements = -0.253 eV/atom
&SYSTEM
  ibrav = 0, nat = 4, ntyp = 3
/
ATOMIC_SPECIES
La 138.91 La.upf
Zr 91.22 Zr.upf
Hg 200.59 Hg.upf
CELL_PARAMETERS angstrom
3.272 0.000 0.000
0.000 4.220 0.000
0.000 0.000 7.323
ATOMIC_POSITIONS crystal
La 0.000 0.000 0.000
Zr 0.000 0.000 0.500
Hg 0.500 0.500 0.286
Hg 0.500 0.500 0.714

[8]
! LaZr2Hg2 PBE optimized geometry; values from VASP
! DOS(E_F) = 1.136 states/eV/atom
! E above lowest polymorph = 0.185 eV/f.u.
! Energy of formation from the pure elements = -0.068 eV/atom
&SYSTEM
  ibrav = 0, nat = 10, ntyp = 3
/
ATOMIC_SPECIES
La 138.91 La.upf
Zr 91.22 Zr.upf
Hg 200.59 Hg.upf
CELL_PARAMETERS angstrom
8.577 0.000 0.000
0.000 8.577 0.000
0.000 0.000 3.390
ATOMIC_POSITIONS crystal
La 0.000 0.000 0.000
La 0.500 0.500 0.000
Zr 0.167 0.333 0.500
Zr 0.333 0.833 0.500
Zr 0.667 0.167 0.500
Zr 0.833 0.667 0.500
Hg 0.130 0.630 0.000
Hg 0.370 0.130 0.000
Hg 0.630 0.870 0.000
Hg 0.870 0.370 0.000

[9]
! LaZr2Hg PBE optimized geometry; values from VASP
! DOS(E_F) = 1.420 states/eV/atom
! Energy of formation from the pure elements = 0.001 eV/atom
&SYSTEM
  ibrav = 0, nat = 4, ntyp = 3
/
ATOMIC_SPECIES
La 138.91 La.upf
Zr 91.22 Zr.upf
Hg 200.59 Hg.upf
CELL_PARAMETERS angstrom
-2.291 2.303 4.695
2.291 -2.303 4.695
2.291 2.303 -4.695
ATOMIC_POSITIONS crystal
La 0.000 0.000 0.000
Zr 0.249 0.749 0.500
Zr 0.500 0.500 0.000
Hg 0.750 0.250 0.500

[10]
! LaZr2Hg PBE optimized geometry; values from VASP
! DOS(E_F) = 1.235 states/eV/atom
! Energy of formation from the pure elements = 0.062 eV/atom
&SYSTEM
  ibrav = 0, nat = 4, ntyp = 3
/
ATOMIC_SPECIES
La 138.91 La.upf
Zr 91.22 Zr.upf
Hg 200.59 Hg.upf
CELL_PARAMETERS angstrom
3.345 0.000 0.000
0.000 5.367 0.000
-0.794 0.000 5.746
ATOMIC_POSITIONS crystal
La 0.000 0.000 0.000
Zr 0.325 0.500 0.730
Zr 0.675 0.500 0.270
Hg 0.500 0.000 0.500

[11]
! LaZr2Hg PBE optimized geometry; values from VASP
! DOS(E_F) = 1.203 states/eV/atom
! Energy of formation from the pure elements = 0.040 eV/atom
&SYSTEM
  ibrav = 0, nat = 4, ntyp = 3
/
ATOMIC_SPECIES
La 138.91 La.upf
Zr 91.22 Zr.upf
Hg 200.59 Hg.upf
CELL_PARAMETERS angstrom
-2.283 2.283 4.789
2.283 -2.283 4.789
2.283 2.283 -4.789
ATOMIC_POSITIONS crystal
La 0.000 0.000 0.000
Zr 0.250 0.750 0.500
Zr 0.750 0.250 0.500
Hg 0.500 0.500 0.000

[12]
! LaZrHg2 PBE optimized geometry; values from VASP
! DOS(E_F) = 0.911 states/eV/atom
! E above lowest polymorph = 1.043 eV/f.u.
! Energy of formation from the pure elements = -0.007 eV/atom
&SYSTEM
  ibrav = 0, nat = 4, ntyp = 3
/
ATOMIC_SPECIES
La 138.91 La.upf
Zr 91.22 Zr.upf
Hg 200.59 Hg.upf
CELL_PARAMETERS angstrom
1.777 1.026 9.912
-1.777 1.026 9.912
0.000 -2.051 9.912
ATOMIC_POSITIONS crystal
La 0.000 0.000 0.000
Zr 0.244 0.244 0.244
Hg 0.501 0.501 0.501
Hg 0.757 0.757 0.757

[13]
! LaZr2Hg PBE optimized geometry; values from VASP
! DOS(E_F) = 0.995 states/eV/atom
! Energy of formation from the pure elements = 0.028 eV/atom
&SYSTEM
  ibrav = 0, nat = 4, ntyp = 3
/
ATOMIC_SPECIES
La 138.91 La.upf
Zr 91.22 Zr.upf
Hg 200.59 Hg.upf
CELL_PARAMETERS angstrom
6.046 -1.659 0.000
6.046 1.659 0.000
-2.609 0.000 5.008
ATOMIC_POSITIONS crystal
La 0.000 0.000 0.000
Zr 0.532 0.532 0.547
Zr 0.782 0.782 0.165
Hg 0.256 0.256 0.595